# Pu2NpCr2C4 PBE optimized geometry
data_Pu2NpCr2C4
_chemical_formula_sum 'Pu4 Np2 Cr4 C8'
_symmetry_space_group_name_H-M 'C 1 2/m 1'
_symmetry_Int_Tables_number 12
_symmetry_space_group_name_Hall '-C 2y'
_cell_length_a 13.768
_cell_length_b 3.221
_cell_length_c 5.401
_cell_angle_alpha 90.00
_cell_angle_beta 111.54
_cell_angle_gamma 90.00
loop_
_atom_site_label
_atom_site_fract_x
_atom_site_fract_y
_atom_site_fract_z
Pu1 0.133 0.000 0.280
Np1 0.000 0.000 0.500
Cr1 0.175 0.500 0.866
C1 0.026 0.500 0.901
C2 0.234 0.000 0.750
# Total DFT energy (no corrections)   -10.8732 eV per atom
# ΔE_f   -0.0124 eV per atom